1.
## MnZnMo2 (meta-GGA SCAN)

Data for a crystal of MnZnMo2 relaxed with PBEsol.

Unit cell a=3.187 b=4.161 c=8.340 alpha=90.00 beta=90.00 gamma=90.00
Space group Cmmm (No. 65)
Asymmetric unit:
1 Mn 0.000 0.000 0.000 (multiplicity 2)
2 Zn 0.000 0.000 0.500 (multiplicity 2)
3 Mo 0.000 0.500 0.237 (multiplicity 4)

2.
## Zr3Zn (meta-GGA SCAN)

Data for a crystal of Zr3Zn relaxed with PBEsol.

Unit cell a=11.300 b=3.170 c=4.976 alpha=90.00 beta=115.27 gamma=90.00
Space group C2/m (No. 12)
Asymmetric unit:
1 Zr 0.000 0.000 0.000 (multiplicity 2)
2 Zr 0.228 0.000 0.728 (multiplicity 4)
3 Zn 0.000 0.500 0.500 (multiplicity 2)

Number 1: calculated formation energy 0.106 eV per atom. Number 2: calculated formation energy -0.085 eV per atom.